First-principles (PBEsol) data for a relaxed BaZrAg2 crystal, as listed in Alexandria.

abc: 11.5207 3.1407 5.4351
angles: 90.00 106.06 90.00
Space group Cm (No. 8)
Inequivalent atoms, fractional coordinates:
Ba  0.0000  0.0000  0.0000 x2
Zr  0.2950  0.5000  0.3851 x2
Ag  0.0455  0.5000  0.5186 x2
Ag  0.2405  0.0000  0.8315 x2

Energy relative to the elements ... 0.24 eV/atom
E_tot ... -33.81 eV/cell
E above lowest polymorph ... 242 meV/atom
Theoretical density ... 7.81 g/cm³


First-principles (PBEsol) data for a relaxed Mn2AlRu crystal, as listed in Alexandria.

abc: 2.6705 2.6705 6.7471
angles: 90.00 90.00 90.00
Space group P4/mmm (No. 123)
Inequivalent atoms, fractional coordinates:
Mn  0.0000  0.0000  0.2493 x2
Al  0.5000  0.5000  0.5000 x1
Ru  0.5000  0.5000  0.0000 x1

Energy relative to the elements ... -0.06 eV/atom
E_tot ... -34.01 eV/cell
Theoretical density ... 8.21 g/cm³


Which formula does entry 1 have? BaZrAg2